# Tl2Ag2Cl7 GGA-PBE relaxed
data_Tl2Ag2Cl7
_chemical_formula_sum 'Tl4 Ag4 Cl14'
_symmetry_space_group_name_H-M 'C 1 2/m 1'
_symmetry_Int_Tables_number 12
_cell_length_a 8.255
_cell_length_b 12.748
_cell_length_c 7.378
_cell_angle_alpha 90.00
_cell_angle_beta 90.08
_cell_angle_gamma 90.00
loop_
_symmetry_equiv_pos_as_xyz
'x,y,z'
'-x,-y,-z'
'-x,y,-z'
'x,-y,z'
'x+1/2,y+1/2,z'
'-x+1/2,-y+1/2,-z'
'-x+1/2,y+1/2,-z'
'x+1/2,-y+1/2,z'
loop_
_atom_site_label
_atom_site_fract_x
_atom_site_fract_y
_atom_site_fract_z
Tl1 0.209 0.000 0.135
Ag1 0.000 0.217 0.500
Cl1 0.000 0.500 0.000
Cl2 0.104 0.000 0.780
Cl3 0.245 0.183 0.306
# - Uncorrected formation energy: -0.56 eV per atom
# - Distance to the lowest polymorph of the same formula: 10 meV/atom
# - Density: 3.73 g cm⁻³
# - Uncorrected energy: -2.68 eV/atom

# NaCeAgAu GGA-PBE relaxed
data_NaCeAgAu
_chemical_formula_sum 'Na4 Ce4 Ag4 Au4'
_symmetry_space_group_name_H-M 'F -4 3 m'
_symmetry_Int_Tables_number 216
_symmetry_space_group_name_Hall 'F -4 2 3'
_cell_length_a 7.261
_cell_length_b 7.261
_cell_length_c 7.261
_cell_angle_alpha 90.00
_cell_angle_beta 90.00
_cell_angle_gamma 90.00
loop_
_atom_site_label
_atom_site_fract_x
_atom_site_fract_y
_atom_site_fract_z
Na1 0.000 0.000 0.000
Ce1 0.000 0.000 0.500
Ag1 0.250 0.250 0.750
Au1 0.250 0.250 0.250
# - Density: 8.12 g cm⁻³
# - Uncorrected energy: -3.59 eV/atom
# - Energy relative to the elements: -248 meV per atom

# TbNiHgPb GGA-PBE relaxed
data_TbNiHgPb
_chemical_formula_sum 'Tb4 Ni4 Hg4 Pb4'
_symmetry_space_group_name_H-M 'F -4 3 m'
_symmetry_Int_Tables_number 216
_symmetry_space_group_name_Hall 'F -4 2 3'
_cell_length_a 7.085
_cell_length_b 7.085
_cell_length_c 7.085
_cell_angle_alpha 90.00
_cell_angle_beta 90.00
_cell_angle_gamma 90.00
loop_
_atom_site_label
_atom_site_fract_x
_atom_site_fract_y
_atom_site_fract_z
Tb1 0.000 0.000 0.000
Ni1 0.250 0.250 0.250
Hg1 0.250 0.250 0.750
Pb1 0.000 0.000 0.500
# - Density: 11.68 g cm⁻³
# - Uncorrected energy: -3.75 eV/atom
# - Energy relative to the elements: -141 meV per atom

# LiU2CuO8 GGA-PBE relaxed
data_LiU2CuO8
_chemical_formula_sum 'Li2 U4 Cu2 O16'
_symmetry_space_group_name_H-M 'I -4'
_symmetry_Int_Tables_number 82
_cell_length_a 5.238
_cell_length_b 5.238
_cell_length_c 10.577
_cell_angle_alpha 90.00
_cell_angle_beta 90.00
_cell_angle_gamma 90.00
loop_
_symmetry_equiv_pos_as_xyz
'x,y,z'
'y,-x,-z'
'-x,-y,z'
'-y,x,-z'
'x+1/2,y+1/2,z+1/2'
'y+1/2,-x+1/2,-z+1/2'
'-x+1/2,-y+1/2,z+1/2'
'-y+1/2,x+1/2,-z+1/2'
loop_
_atom_site_label
_atom_site_fract_x
_atom_site_fract_y
_atom_site_fract_z
Li1 0.000 0.000 0.000
U1 0.000 0.000 0.500
U2 0.000 0.500 0.250
Cu1 0.000 0.500 0.750
O1 0.176 0.207 0.698
O2 0.183 0.314 0.434
# - Uncorrected formation energy: -2.28 eV per atom
# - Density: 7.72 g cm⁻³
# - Uncorrected energy: -7.97 eV/atom

# KAl2Hg2 GGA-PBE relaxed
data_KAl2Hg2
_chemical_formula_sum 'K2 Al4 Hg4'
_symmetry_space_group_name_H-M 'I 4/m m m'
_symmetry_Int_Tables_number 139
_symmetry_space_group_name_Hall '-I 4 2'
_cell_length_a 5.073
_cell_length_b 5.073
_cell_length_c 10.146
_cell_angle_alpha 90.00
_cell_angle_beta 90.00
_cell_angle_gamma 90.00
loop_
_atom_site_label
_atom_site_fract_x
_atom_site_fract_y
_atom_site_fract_z
K1 0.000 0.000 0.000
Al1 0.000 0.000 0.370
Hg1 0.000 0.500 0.250
# - Distance to the lowest polymorph of the same formula: 24 meV/atom
# - Density: 6.29 g cm⁻³
# - Uncorrected energy: -1.84 eV/atom
# - Energy relative to the elements: 2 meV per atom

# RbAgGe3 GGA-PBE relaxed
data_RbAgGe3
_chemical_formula_sum 'Rb1 Ag1 Ge3'
_symmetry_space_group_name_H-M 'P m -3 m'
_symmetry_Int_Tables_number 221
_symmetry_space_group_name_Hall '-P 4 2 3'
_cell_length_a 5.652
_cell_length_b 5.652
_cell_length_c 5.652
_cell_angle_alpha 90.00
_cell_angle_beta 90.00
_cell_angle_gamma 90.00
loop_
_atom_site_label
_atom_site_fract_x
_atom_site_fract_y
_atom_site_fract_z
Rb1 0.000 0.000 0.000
Ag1 0.500 0.500 0.500
Ge1 0.000 0.000 0.500
# - Distance to the lowest polymorph of the same formula: 1271 meV/atom
# - Density: 3.78 g cm⁻³
# - Uncorrected energy: -1.74 eV/atom
# - Energy relative to the elements: 1793 meV per atom

# Ag3H5Pd12 GGA-PBE relaxed
data_Ag3H5Pd12
_chemical_formula_sum 'Ag24 H40 Pd96'
_symmetry_space_group_name_H-M 'I a -3 d'
_symmetry_Int_Tables_number 230
_symmetry_space_group_name_Hall '-I 4bd 2c 3'
_cell_length_a 12.983
_cell_length_b 12.983
_cell_length_c 12.983
_cell_angle_alpha 90.00
_cell_angle_beta 90.00
_cell_angle_gamma 90.00
loop_
_atom_site_label
_atom_site_fract_x
_atom_site_fract_y
_atom_site_fract_z
Ag1 0.000 0.250 0.125
H1 0.000 0.000 0.000
H2 0.000 0.250 0.375
Pd1 0.046 0.143 0.952
# - Density: 9.75 g cm⁻³
# - Uncorrected energy: -4.27 eV/atom

# SrLaSc2Tc GGA-PBE relaxed
data_SrLaSc2Tc
_chemical_formula_sum 'Sr1 La1 Sc2 Tc1'
_symmetry_space_group_name_H-M 'P 4/m m m'
_symmetry_Int_Tables_number 123
_symmetry_space_group_name_Hall '-P 4 2'
_cell_length_a 5.347
_cell_length_b 5.347
_cell_length_c 4.929
_cell_angle_alpha 90.00
_cell_angle_beta 90.00
_cell_angle_gamma 90.00
loop_
_atom_site_label
_atom_site_fract_x
_atom_site_fract_y
_atom_site_fract_z
Sr1 0.000 0.000 0.000
La1 0.500 0.500 0.500
Sc1 0.000 0.500 0.000
Tc1 0.000 0.000 0.500
# - Distance to the lowest polymorph of the same formula: 1278 meV/atom
# - Density: 4.88 g cm⁻³
# - Uncorrected energy: -4.61 eV/atom
# - Energy relative to the elements: 1316 meV per atom